A geometry-optimized Ca5DyBi4 structure, computed with PBE.

The structure in POSCAR format:
```
Ca5DyBi4
1.0
5.142 0.000 0.000
0.000 7.397 -2.780
-2.571 -3.800 10.697
Ca Dy Bi
5 1 4
direct
0.830 0.664 0.661
0.839 0.166 0.679
0.161 0.834 0.321
0.500 0.500 0.000
0.170 0.336 0.339
0.500 0.000 0.000
0.319 0.883 0.637
0.977 0.706 0.953
0.681 0.117 0.363
0.023 0.294 0.047
```

## Properties
The total energy comes out at -37.236 eV/cell.

---

A geometry-optimized PmAl6Pd4 structure, computed with PBE.

The structure in POSCAR format:
```
PmAl6Pd4
1.0
-2.680 2.353 -2.018
2.873 -2.159 -6.334
-5.508 -3.733 2.960
Pm Al Pd
1 6 4
direct
0.000 0.000 0.000
0.000 0.534 0.069
0.500 0.598 0.799
0.000 0.534 0.466
0.000 0.931 0.466
0.500 0.201 0.799
0.500 0.201 0.402
0.500 0.798 0.596
0.500 0.404 0.202
0.500 0.798 0.202
0.000 0.333 0.667
```

## Properties
The total energy comes out at -56.748 eV/cell.

---

A geometry-optimized CsCa3Tc structure, computed with PBE.

The structure in POSCAR format:
```
CsCa3Tc
1.0
5.799 0.000 0.000
0.000 5.799 0.000
0.000 0.000 5.799
Cs Ca Tc
1 3 1
direct
0.000 0.000 0.000
0.000 0.500 0.000
0.000 0.000 0.500
0.500 0.000 0.000
0.500 0.500 0.500
```

## Properties
The total energy comes out at -8.154 eV/cell.

---

A geometry-optimized K2NiBr structure, computed with PBE.

The structure in POSCAR format:
```
K2NiBr
1.0
-6.169 -2.928 -5.455
-6.521 -5.573 -1.673
-8.454 -1.368 -1.744
Br K Ni
1 2 1
direct
0.750 0.750 0.750
0.004 0.004 0.004
0.496 0.496 0.496
0.250 0.250 0.250
```

## Properties
The polymorph energy (0 for the lowest one) comes out at 28 meV per atom. The calculation puts the energy relative to the elements, uncorrected at -0.24 eV/atom.

---

A geometry-optimized Ta6Nb3Au2 structure, computed with PBE.

The structure in POSCAR format:
```
Ta6Nb3Au2
1.0
-1.727 -5.015 -1.642
-0.538 -3.873 3.008
-8.971 2.302 1.584
Ta Nb Au
6 3 2
direct
0.430 0.668 0.748
0.758 0.000 0.729
0.098 0.332 0.748
0.242 0.000 0.271
0.570 0.332 0.252
0.902 0.668 0.252
0.000 0.000 0.000
0.335 0.330 0.000
0.665 0.670 0.000
0.199 0.602 0.500
0.801 0.398 0.500
```

## Properties
The total energy comes out at -105.224 eV/cell.

---

A geometry-optimized NiHgCl2 structure, computed with PBE.

The structure in POSCAR format:
```
NiHgCl2
1.0
-0.457 -3.018 -0.548
1.153 -0.682 2.797
-8.575 0.630 3.687
Ni Hg Cl
1 1 2
direct
0.500 0.500 0.750
0.500 0.500 0.250
0.000 0.000 0.908
0.000 0.000 0.592
```

## Properties
The polymorph energy (0 for the lowest one) comes out at 394 meV per atom. The calculation puts the energy relative to the elements, uncorrected at -0.03 eV/atom.

---

A geometry-optimized CsCu2SnF8 structure, computed with PBE.

The structure in POSCAR format:
```
CsCu2SnF8
1.0
5.221 0.658 0.715
0.748 5.316 0.779
1.236 1.294 7.936
Cs Cu Sn F
1 2 1 8
direct
0.000 0.000 0.500
0.444 0.461 0.708
0.556 0.539 0.292
0.000 0.000 0.000
0.177 0.747 0.193
0.732 0.762 0.066
0.756 0.204 0.177
0.823 0.253 0.807
0.268 0.238 0.934
0.244 0.796 0.823
0.615 0.681 0.485
0.385 0.319 0.515
```

## Properties
The calculation puts the energy relative to the elements, uncorrected at -2.07 eV/atom.

---

A geometry-optimized RbPr2AgO5 structure, computed with PBE.

The structure in POSCAR format:
```
RbPr2AgO5
1.0
6.923 0.000 0.000
0.000 6.923 0.000
-3.461 -3.461 6.276
Rb Pr Ag O
2 4 2 10
direct
0.250 0.250 0.500
0.750 0.750 0.500
0.173 0.327 0.000
0.673 0.173 0.000
0.327 0.827 0.000
0.827 0.673 0.000
0.250 0.750 0.500
0.750 0.250 0.500
0.981 0.481 0.230
0.751 0.251 0.770
0.019 0.519 0.770
0.251 0.019 0.770
0.519 0.751 0.770
0.749 0.981 0.230
0.481 0.249 0.230
0.249 0.749 0.230
0.500 0.500 0.000
0.000 0.000 0.000
```

## Properties
The calculation puts the energy relative to the elements, uncorrected at -1.96 eV/atom.

---

A geometry-optimized Hg2TePb2 structure, computed with PBE.

The structure in POSCAR format:
```
Hg2TePb2
1.0
-2.913 0.802 -3.037
2.583 -1.746 -2.938
-3.679 -7.996 -1.605
Pb Te Hg
2 1 2
direct
0.404 0.404 0.192
0.596 0.596 0.808
0.000 0.000 0.000
0.750 0.250 0.500
0.250 0.750 0.500
```

## Properties
The polymorph energy (0 for the lowest one) comes out at 34 meV per atom. The calculation puts the energy relative to the elements, uncorrected at -0.03 eV/atom.

---

A geometry-optimized NiWSN2 structure, computed with PBE.

The structure in POSCAR format:
```
NiWSN2
1.0
-0.866 -3.410 -1.557
3.744 -0.712 -0.523
0.230 -2.141 4.561
Ni S W N
1 1 1 2
direct
0.500 0.500 0.500
0.000 0.000 0.500
0.000 0.000 0.000
0.000 0.500 0.000
0.500 0.000 0.000
```

## Properties
The polymorph energy (0 for the lowest one) comes out at 0 meV per atom. The calculation puts the energy relative to the elements, uncorrected at 0.58 eV/atom.

---

A geometry-optimized La8CuTc3Br4 structure, computed with PBE.

The structure in POSCAR format:
```
La8CuTc3Br4
1.0
-2.376 0.621 -8.035
-5.194 -7.670 0.943
-1.545 6.291 5.336
La Cu Tc Br
8 1 3 4
direct
0.242 0.699 0.958
0.241 0.698 0.483
0.266 0.299 0.532
0.716 0.699 0.958
0.284 0.301 0.042
0.734 0.701 0.468
0.759 0.302 0.517
0.758 0.301 0.042
0.000 0.500 0.000
0.500 0.500 0.000
0.500 0.500 0.500
0.000 0.500 0.500
0.500 0.000 0.000
0.500 0.000 0.500
0.000 0.000 0.000
0.000 0.000 0.500
```

## Properties
The calculation puts the energy relative to the elements, uncorrected at -0.65 eV/atom.

---

A geometry-optimized La8AlGa3Br4 structure, computed with PBE.

The structure in POSCAR format:
```
La8AlGa3Br4
1.0
-5.934 5.844 3.184
-6.001 -6.488 0.723
7.951 -0.849 3.893
La Al Ga Br
8 1 3 4
direct
0.247 0.736 0.989
0.247 0.736 0.494
0.256 0.269 0.513
0.742 0.736 0.989
0.258 0.264 0.011
0.744 0.731 0.487
0.753 0.264 0.506
0.753 0.264 0.011
0.000 0.500 0.000
0.500 0.500 0.000
0.500 0.500 0.500
0.000 0.500 0.500
0.500 0.000 0.000
0.500 0.000 0.500
0.000 0.000 0.000
0.000 0.000 0.500
```

## Properties
The calculation puts the energy relative to the elements, uncorrected at -0.90 eV/atom.

---

Number 1: size of the total moment 0.000 μB/atom. Number 2: size of the total moment 0.000 μB/atom. Number 3: size of the total moment 0.408 μB/atom. Number 4: size of the total moment 0.250 μB/atom. Number 5: size of the total moment 0.000 μB/atom. Number 6: size of the total moment 0.451 μB/atom. Number 7: size of the total moment 0.083 μB/atom. Number 8: size of the total moment 0.223 μB/atom. Number 9: size of the total moment 0.000 μB/atom. Number 10: size of the total moment 0.307 μB/atom. Number 11: size of the total moment 0.000 μB/atom. Number 12: size of the total moment 0.000 μB/atom.